No. 1
BC3 PBE-GGA optimized geometry; spin magnetization = 0.0 μB per formula unit; E = -99.06 eV for the cell shown; DOS(E_F) = 1.84 states/eV/cell; energy relative to the lowest polymorph listed for this composition = 0.0915 eV/atom; ΔH_f (0 K) = 332 meV per atom
1.0
-2.684 -2.428 -2.730
4.492 -0.011 -0.641
-0.242 -2.455 3.781
B C
3 9
Direct
0.037 0.703 0.124
0.269 0.602 0.645
0.769 0.106 0.477
0.164 0.846 0.508
0.506 0.493 0.495
0.375 0.370 0.125
0.338 0.660 0.011
0.716 0.048 0.109
0.658 0.328 0.996
0.533 0.212 0.630
0.003 0.013 0.997
0.881 0.870 0.631

***

No. 2
RbCa2GaS4 PBE-GGA optimized geometry; spin magnetization = 0.0 μB per formula unit; E = -69.03 eV for the cell shown; formation energy (no corrections) = -1.251 eV per atom
1.0
-3.099 -4.216 6.435
3.531 -7.031 -2.624
4.651 6.858 1.273
Rb Ca Ga S
2 4 2 8
Direct
0.000 0.500 0.000
0.000 0.500 0.500
0.500 0.000 0.000
0.500 0.000 0.500
0.000 0.000 0.500
0.500 0.500 0.000
0.500 0.500 0.500
0.000 0.000 0.000
0.217 0.831 0.024
0.669 0.283 0.476
0.331 0.717 0.524
0.783 0.169 0.976
0.736 0.765 0.028
0.735 0.764 0.472
0.265 0.236 0.528
0.264 0.235 0.972

***

Number 1: volume 6.28 Å³ per atom. Number 2: volume 25.54 Å³ per atom.